Record 1
Compound: Nb3Mo6W
Source: the Alexandria database
Functional: PBE-GGA
Structure: relaxed

Results
The energy of formation from the pure elements comes out at -0.112 eV/atom. For the excess energy over the best structure of this formula in the dataset, the calculation gives 0.000 eV per atom. Its size of the total moment is 0.000 μB/cell.

Cell lengths 7.8673, 4.5262, 9.6208 Å; angles 90.00, 105.74, 90.00 degrees
With the nearest neighbours (Å) after each atom.
Space group P2_1/m (No. 11)
Symmetry-distinct sites (fractional):
Nb: 0.0506 0.2500 0.4000 (multiplicity 2)  8 Mo 2.76-2.81
Nb: 0.1515 0.7500 0.1997 (multiplicity 2)  8 Mo 2.78-2.83
Nb: 0.2516 0.2500 0.9984 (multiplicity 2)  8 Mo 2.74-2.83
Mo: 0.0524 0.7500 0.8984 (multiplicity 2)  7 Nb 2.76-2.83, 1 Mo 2.78
Mo: 0.1545 0.2500 0.6988 (multiplicity 2)  1 W 2.75, 2 Mo 2.76, 5 Nb 2.77-2.83
Mo: 0.2544 0.7500 0.5013 (multiplicity 2)  1 Mo 2.75, 3 W 2.75-2.76, 4 Nb 2.79-2.81
Mo: 0.3513 0.7500 0.7977 (multiplicity 2)  8 Mo 2.73-2.81
Mo: 0.3551 0.2500 0.3021 (multiplicity 2)  1 Mo 2.73, 3 W 2.75, 4 Nb 2.79-2.81
Mo: 0.4529 0.7500 0.1012 (multiplicity 2)  4 Nb 2.74-2.79, 3 Mo 2.76-2.81, 1 W 2.78
W: 0.4506 0.2500 0.5991 (multiplicity 2)  8 Mo 2.75-2.78

=====

Record 2
Compound: MgSn3N
Source: the Alexandria database
Functional: PBE-GGA
Structure: relaxed

Results
For the uncorrected formation energy, the calculation gives 7.74 eV per formula unit. For the excess energy over the best structure of this formula in the dataset, the calculation gives 1.119 eV per atom. Its size of the total moment is 0.000 μB/cell.

Cell lengths 5.2804, 5.2804, 5.2804 Å; angles 90.00, 90.00, 90.00 degrees
With the nearest neighbours (Å) after each atom.
Space group Pm-3m (No. 221)
Symmetry-distinct sites (fractional):
Mg: 0.0000 0.0000 0.0000 (multiplicity 1)  6 Sn 2.64
Sn: 0.0000 0.0000 0.5000 (multiplicity 3)  2 Mg 2.64
N: 0.5000 0.5000 0.5000 (multiplicity 1)  12 Sn 3.73

=====

Record 3
Compound: Pm4Al7Ge6
Source: the Alexandria database
Functional: PBE-GGA
Structure: relaxed

Results
The energy of formation from the pure elements comes out at -0.430 eV/atom. Its size of the total moment is 0.000 μB/cell.

Cell lengths 8.8440, 8.8440, 8.8440 Å; angles 90.00, 90.00, 90.00 degrees
With the nearest neighbours (Å) after each atom.
Space group Im-3m (No. 229)
Symmetry-distinct sites (fractional):
Pm: 0.2500 0.2500 0.2500 (multiplicity 8)  6 Al 3.13, 6 Ge 3.17
Al: 0.0000 0.0000 0.0000 (multiplicity 2)  6 Ge 2.76
Al: 0.0000 0.2500 0.5000 (multiplicity 12)  4 Ge 2.77
Ge: 0.0000 0.0000 0.3120 (multiplicity 12)  5 Al 2.76-2.77